1.
SrCd2Cl after structural relaxation. Source: Alexandria via LeMat-Bulk, functional PBE-GGA.

Cell lengths 7.257, 7.257, 7.257 Å; angles 99.04, 99.04, 133.29 degrees
Positions (direct):
Sr 0.000 0.000 0.000
Sr 0.750 0.250 0.500
Cd 0.137 0.625 0.012
Cd 0.375 0.387 0.512
Cd 0.613 0.125 0.988
Cd 0.875 0.863 0.488
Cl 0.250 0.750 0.500
Cl 0.500 0.500 0.000

Summary:
* space-group type: I-42d

2.
FeN2Cl2 after structural relaxation. Source: Alexandria via LeMat-Bulk, functional PBE-GGA.

Cell lengths 5.089, 5.089, 5.089 Å; angles 103.42, 103.42, 122.40 degrees
Positions (direct):
Fe 0.000 0.000 0.000
N 0.383 0.383 0.000
N 0.617 0.617 0.000
Cl 0.250 0.750 0.500
Cl 0.750 0.250 0.500

Summary:
* space-group type: I4/mmm

3.
LaTi3Br after structural relaxation. Source: Alexandria via LeMat-Bulk, functional PBE-GGA.

Cell lengths 4.867, 4.867, 4.867 Å; angles 90.00, 90.00, 90.00 degrees
Positions (direct):
La 0.000 0.000 0.000
Ti 0.000 0.500 0.500
Ti 0.500 0.000 0.500
Ti 0.500 0.500 0.000
Br 0.500 0.500 0.500

Summary:
* space-group type: Pm-3m

4.
V5In3S12 after structural relaxation. Source: Alexandria via LeMat-Bulk, functional PBE-GGA.

Cell lengths 13.089, 13.089, 13.089 Å; angles 109.47, 109.47, 109.47 degrees
Positions (direct):
V 0.000 0.000 0.000
V 0.000 0.000 0.500
V 0.000 0.500 0.000
V 0.000 0.500 0.500
V 0.125 0.750 0.875
V 0.125 0.875 0.250
V 0.250 0.125 0.875
V 0.250 0.625 0.375
V 0.375 0.250 0.625
V 0.375 0.625 0.750
V 0.500 0.000 0.000
V 0.500 0.000 0.500
V 0.500 0.500 0.000
V 0.500 0.500 0.500
V 0.625 0.375 0.250
V 0.625 0.750 0.375
V 0.750 0.375 0.625
V 0.750 0.875 0.125
V 0.875 0.125 0.750
V 0.875 0.250 0.125
In 0.125 0.250 0.375
In 0.125 0.375 0.750
In 0.250 0.375 0.125
In 0.250 0.875 0.625
In 0.375 0.125 0.250
In 0.375 0.750 0.125
In 0.625 0.250 0.875
In 0.625 0.875 0.750
In 0.750 0.125 0.375
In 0.750 0.625 0.875
In 0.875 0.625 0.250
In 0.875 0.750 0.625
S 0.015 0.198 0.115
S 0.015 0.318 0.900
S 0.082 0.698 0.682
S 0.082 0.885 0.400
S 0.100 0.615 0.418
S 0.100 0.985 0.682
S 0.115 0.015 0.198
S 0.115 0.600 0.918
S 0.182 0.198 0.582
S 0.182 0.485 0.600
S 0.198 0.115 0.015
S 0.198 0.582 0.182
S 0.302 0.318 0.918
S 0.302 0.485 0.385
S 0.318 0.900 0.015
S 0.318 0.918 0.302
S 0.385 0.302 0.485
S 0.385 0.582 0.900
S 0.400 0.082 0.885
S 0.400 0.818 0.515
S 0.418 0.100 0.615
S 0.418 0.818 0.802
S 0.485 0.385 0.302
S 0.485 0.600 0.182
S 0.515 0.400 0.818
S 0.515 0.615 0.698
S 0.582 0.182 0.198
S 0.582 0.900 0.385
S 0.600 0.182 0.485
S 0.600 0.918 0.115
S 0.615 0.418 0.100
S 0.615 0.698 0.515
S 0.682 0.082 0.698
S 0.682 0.100 0.985
S 0.698 0.515 0.615
S 0.698 0.682 0.082
S 0.802 0.418 0.818
S 0.802 0.885 0.985
S 0.818 0.515 0.400
S 0.818 0.802 0.418
S 0.885 0.400 0.082
S 0.885 0.985 0.802
S 0.900 0.015 0.318
S 0.900 0.385 0.582
S 0.918 0.115 0.600
S 0.918 0.302 0.318
S 0.985 0.682 0.100
S 0.985 0.802 0.885

Summary:
* space-group type: Ia-3d

5.
MgIn3Ga2 after structural relaxation. Source: Alexandria via LeMat-Bulk, functional PBE-GGA.

Cell lengths 8.127, 8.127, 10.409 Å; angles 122.82, 122.82, 29.73 degrees
Positions (direct):
Mg 0.072 0.072 0.438
Mg 0.928 0.928 0.562
In 0.134 0.134 0.978
In 0.239 0.239 0.373
In 0.446 0.446 0.817
In 0.554 0.554 0.183
In 0.761 0.761 0.627
In 0.866 0.866 0.022
Ga 0.218 0.218 0.791
Ga 0.421 0.421 0.333
Ga 0.579 0.579 0.667
Ga 0.782 0.782 0.209

Summary:
* space-group type: C2/m

6.
LaTaSi2 after structural relaxation. Source: Alexandria via LeMat-Bulk, functional PBE-GGA.

Cell lengths 5.159, 5.159, 3.085 Å; angles 90.00, 90.00, 90.00 degrees
Positions (direct):
La 0.000 0.000 0.000
Ta 0.500 0.500 0.376
Si 0.000 0.500 0.542
Si 0.500 0.000 0.542

Summary:
* space-group type: P4mm

7.
PmNd7Tl2 after structural relaxation. Source: Alexandria via LeMat-Bulk, functional PBE-GGA.

Cell lengths 9.301, 9.301, 5.467 Å; angles 90.00, 90.00, 119.28 degrees
Positions (direct):
Pm 0.000 0.000 0.000
Nd 0.062 0.302 0.500
Nd 0.225 0.775 0.000
Nd 0.302 0.062 0.500
Nd 0.500 0.500 0.500
Nd 0.698 0.938 0.500
Nd 0.775 0.225 0.000
Nd 0.938 0.698 0.500
Tl 0.306 0.694 0.500
Tl 0.694 0.306 0.500

Summary:
* space-group type: Cmmm

8.
Sr4DyZn5 after structural relaxation. Source: Alexandria via LeMat-Bulk, functional PBE-GGA.

Cell lengths 3.810, 3.810, 19.337 Å; angles 90.00, 90.00, 90.00 degrees
Positions (direct):
Sr 0.000 0.000 0.104
Sr 0.000 0.000 0.311
Sr 0.000 0.000 0.689
Sr 0.000 0.000 0.896
Dy 0.000 0.000 0.500
Zn 0.500 0.500 0.000
Zn 0.500 0.500 0.206
Zn 0.500 0.500 0.421
Zn 0.500 0.500 0.579
Zn 0.500 0.500 0.794

Summary:
* space-group type: P4/mmm

Ρ: 4.5 2.6 5.2 3.8 6.0 7.6 6.3 5.0 (Mg/m³)
Final energy: -16.118 -27.754 -28.594 -461.553 -31.767 -27.965 -39.597 -19.743 (eV/cell)